[1]
A plane-wave DFT calculation with PBE was carried out for a relaxed structure of Pm2Zn16Ge.

## Properties
The value obtained for the final energy is -2.0506 eV per atom. Its formation energy from the elements is -235 meV per atom. The spin magnetization is 0.00 μB/cell. The space-group type is No. 160.

abc: 6.839 6.839 6.839
angles: 83.81 83.81 83.81
Sites, in units of the cell vectors:
Pm: 0.000 0.000 0.000
Pm: 0.333 0.333 0.333
Zn: 0.014 0.014 0.501
Zn: 0.014 0.501 0.014
Zn: 0.156 0.671 0.671
Zn: 0.315 0.315 0.835
Zn: 0.315 0.835 0.315
Zn: 0.361 0.666 0.970
Zn: 0.361 0.970 0.666
Zn: 0.501 0.014 0.014
Zn: 0.666 0.361 0.970
Zn: 0.666 0.970 0.361
Zn: 0.671 0.156 0.671
Zn: 0.671 0.671 0.156
Zn: 0.761 0.761 0.761
Zn: 0.835 0.315 0.315
Zn: 0.970 0.361 0.666
Zn: 0.970 0.666 0.361
Ge: 0.565 0.565 0.565



[2]
A plane-wave DFT calculation with PBE was carried out for a relaxed structure of Pm3ZnGe3.

## Properties
The value obtained for the final energy is -4.7432 eV per atom. The relative energy among the computed polymorphs is 1.39 eV per formula unit. Its formation energy from the elements is -546 meV per atom. The spin magnetization is 0.00 μB/cell. The space-group type is No. 176.

abc: 8.722 8.722 6.001
angles: 90.00 90.00 120.00
Sites, in units of the cell vectors:
Pm: 0.056 0.361 0.250
Pm: 0.305 0.944 0.250
Pm: 0.361 0.305 0.750
Pm: 0.639 0.695 0.250
Pm: 0.695 0.056 0.750
Pm: 0.944 0.639 0.750
Zn: 0.333 0.667 0.750
Zn: 0.667 0.333 0.250
Ge: 0.055 0.365 0.750
Ge: 0.309 0.945 0.750
Ge: 0.365 0.309 0.250
Ge: 0.635 0.691 0.750
Ge: 0.691 0.055 0.250
Ge: 0.945 0.635 0.250



[3]
A plane-wave DFT calculation with PBE was carried out for a relaxed structure of Pm6ZnGe2.

## Properties
The value obtained for the final energy is -4.6625 eV per atom. Its formation energy from the elements is -328 meV per atom. The spin magnetization is 0.00 μB/cell. The space-group type is No. 71.

abc: 8.734 8.734 8.734
angles: 146.47 131.83 59.96
Sites, in units of the cell vectors:
Pm: 0.083 0.334 0.749
Pm: 0.248 0.000 0.248
Pm: 0.415 0.666 0.749
Pm: 0.585 0.334 0.251
Pm: 0.752 0.000 0.752
Pm: 0.917 0.666 0.251
Zn: 0.000 0.500 0.500
Ge: 0.332 0.832 0.500
Ge: 0.668 0.168 0.500



[4]
A plane-wave DFT calculation with PBE was carried out for a relaxed structure of Pm3ZnGe2.

## Properties
The value obtained for the final energy is -4.6350 eV per atom. The relative energy among the computed polymorphs is 1.06 eV per formula unit. Its formation energy from the elements is -508 meV per atom. The spin magnetization is 0.00 μB/cell. The space-group type is No. 15.

abc: 7.549 7.549 8.422
angles: 106.29 106.29 47.17
Sites, in units of the cell vectors:
Pm: 0.045 0.955 0.750
Pm: 0.313 0.318 0.408
Pm: 0.318 0.313 0.908
Pm: 0.682 0.687 0.092
Pm: 0.687 0.682 0.592
Pm: 0.955 0.045 0.250
Zn: 0.444 0.556 0.250
Zn: 0.556 0.444 0.750
Ge: 0.154 0.162 0.079
Ge: 0.162 0.154 0.579
Ge: 0.838 0.846 0.421
Ge: 0.846 0.838 0.921



[5]
A plane-wave DFT calculation with PBE was carried out for a relaxed structure of PmZnGe4.

## Properties
The value obtained for the final energy is -4.2437 eV per atom. Its formation energy from the elements is -161 meV per atom. The spin magnetization is 0.00 μB/cell. The space-group type is No. 216.

abc: 5.583 5.583 5.583
angles: 60.00 60.00 60.00
Sites, in units of the cell vectors:
Pm: 0.000 0.000 0.000
Zn: 0.750 0.750 0.750
Ge: 0.375 0.375 0.375
Ge: 0.375 0.375 0.874
Ge: 0.375 0.874 0.375
Ge: 0.874 0.375 0.375



[6]
A plane-wave DFT calculation with PBE was carried out for a relaxed structure of Pm5Zn2Ge.

## Properties
The value obtained for the final energy is -4.2209 eV per atom. Its formation energy from the elements is -356 meV per atom. The spin magnetization is 0.00 μB/cell. The space-group type is No. 140.

abc: 9.279 9.279 9.279
angles: 131.77 131.77 70.59
Sites, in units of the cell vectors:
Pm: 0.000 0.000 0.000
Pm: 0.013 0.513 0.833
Pm: 0.180 0.013 0.500
Pm: 0.320 0.820 0.833
Pm: 0.487 0.320 0.500
Pm: 0.500 0.500 0.000
Pm: 0.513 0.680 0.500
Pm: 0.680 0.180 0.167
Pm: 0.820 0.987 0.500
Pm: 0.987 0.487 0.167
Zn: 0.120 0.380 0.500
Zn: 0.380 0.880 0.260
Zn: 0.620 0.120 0.740
Zn: 0.880 0.620 0.500
Ge: 0.250 0.250 0.000
Ge: 0.750 0.750 0.000



[7]
A plane-wave DFT calculation with PBE was carried out for a relaxed structure of Pm3ZnGe2.

## Properties
The value obtained for the final energy is -4.8122 eV per atom. The relative energy among the computed polymorphs is 0.00 eV per formula unit. Its formation energy from the elements is -685 meV per atom. The spin magnetization is 0.00 μB/cell. The space-group type is No. 62.

abc: 11.817 4.319 11.883
angles: 90.00 90.00 90.00
Sites, in units of the cell vectors:
Pm: 0.058 0.250 0.122
Pm: 0.126 0.750 0.564
Pm: 0.202 0.250 0.803
Pm: 0.298 0.750 0.303
Pm: 0.374 0.250 0.064
Pm: 0.442 0.750 0.622
Pm: 0.558 0.250 0.378
Pm: 0.626 0.750 0.936
Pm: 0.702 0.250 0.697
Pm: 0.798 0.750 0.197
Pm: 0.874 0.250 0.436
Pm: 0.942 0.750 0.878
Zn: 0.138 0.250 0.362
Zn: 0.362 0.750 0.862
Zn: 0.638 0.250 0.138
Zn: 0.862 0.750 0.638
Ge: 0.023 0.750 0.319
Ge: 0.188 0.750 0.998
Ge: 0.312 0.250 0.498
Ge: 0.477 0.250 0.819
Ge: 0.523 0.750 0.181
Ge: 0.688 0.750 0.502
Ge: 0.812 0.250 0.002
Ge: 0.977 0.250 0.681



[8]
A plane-wave DFT calculation with PBE was carried out for a relaxed structure of PmZnGe.

## Properties
The value obtained for the final energy is -4.2238 eV per atom. The relative energy among the computed polymorphs is 0.00 eV per formula unit. Its formation energy from the elements is -677 meV per atom. The spin magnetization is 0.00 μB/cell. The space-group type is No. 187.

abc: 4.232 4.232 4.206
angles: 90.00 90.00 120.00
Sites, in units of the cell vectors:
Pm: 0.000 0.000 0.000
Zn: 0.667 0.333 0.500
Ge: 0.333 0.667 0.500



[9]
A plane-wave DFT calculation with PBE was carried out for a relaxed structure of PmZnGe.

## Properties
The value obtained for the final energy is -3.9193 eV per atom. The relative energy among the computed polymorphs is 0.91 eV per formula unit. Its formation energy from the elements is -372 meV per atom. The spin magnetization is 0.00 μB/cell. The space-group type is No. 216.

abc: 4.591 4.591 4.591
angles: 60.00 60.00 60.00
Sites, in units of the cell vectors:
Pm: 0.000 0.000 0.000
Zn: 0.250 0.250 0.250
Ge: 0.500 0.500 0.500



[10]
A plane-wave DFT calculation with PBE was carried out for a relaxed structure of Pm2ZnGe.

## Properties
The value obtained for the final energy is -4.3749 eV per atom. The relative energy among the computed polymorphs is 0.22 eV per formula unit. Its formation energy from the elements is -527 meV per atom. The spin magnetization is 0.00 μB/cell. The space-group type is No. 225.

abc: 5.155 5.155 5.155
angles: 60.00 60.00 60.00
Sites, in units of the cell vectors:
Pm: 0.250 0.250 0.250
Pm: 0.750 0.750 0.750
Zn: 0.000 0.000 0.000
Ge: 0.500 0.500 0.500



[11]
A plane-wave DFT calculation with PBE was carried out for a relaxed structure of Pm3Zn2Ge6.

## Properties
The value obtained for the final energy is -4.4684 eV per atom. Its formation energy from the elements is -423 meV per atom. The spin magnetization is 0.00 μB/cell. The space-group type is No. 139.

abc: 14.071 14.071 14.071
angles: 162.64 162.64 24.64
Sites, in units of the cell vectors:
Pm: 0.000 0.000 0.000
Pm: 0.164 0.164 0.000
Pm: 0.836 0.836 0.000
Zn: 0.360 0.360 0.000
Zn: 0.640 0.640 0.000
Ge: 0.081 0.581 0.500
Ge: 0.269 0.269 0.000
Ge: 0.419 0.919 0.500
Ge: 0.581 0.081 0.500
Ge: 0.731 0.731 0.000
Ge: 0.919 0.419 0.500



[12]
A plane-wave DFT calculation with PBE was carried out for a relaxed structure of Pm2Zn2Ge3.

## Properties
The value obtained for the final energy is -4.0617 eV per atom. The relative energy among the computed polymorphs is 1.19 eV per formula unit. Its formation energy from the elements is -362 meV per atom. The spin magnetization is 0.00 μB/cell. The space-group type is No. 199.

abc: 7.451 7.451 7.451
angles: 109.47 109.47 109.47
Sites, in units of the cell vectors:
Pm: 0.000 0.006 0.500
Pm: 0.006 0.500 0.000
Pm: 0.494 0.494 0.494
Pm: 0.500 0.000 0.006
Zn: 0.000 0.607 0.500
Zn: 0.500 0.000 0.607
Zn: 0.607 0.500 0.000
Zn: 0.893 0.893 0.893
Ge: 0.247 0.997 0.250
Ge: 0.250 0.247 0.997
Ge: 0.253 0.503 0.750
Ge: 0.503 0.750 0.253
Ge: 0.750 0.253 0.503
Ge: 0.997 0.250 0.247



[13]
A plane-wave DFT calculation with PBE was carried out for a relaxed structure of Pm2Zn6Ge3.

## Properties
The value obtained for the final energy is -3.2304 eV per atom. Its formation energy from the elements is -413 meV per atom. The spin magnetization is 0.00 μB/cell. The space-group type is No. 189.

abc: 7.642 7.642 4.090
angles: 90.00 90.00 120.00
Sites, in units of the cell vectors:
Pm: 0.333 0.667 0.000
Pm: 0.667 0.333 0.000
Zn: 0.000 0.286 0.500
Zn: 0.000 0.810 0.000
Zn: 0.190 0.190 0.000
Zn: 0.286 0.000 0.500
Zn: 0.714 0.714 0.500
Zn: 0.810 0.000 0.000
Ge: 0.000 0.615 0.500
Ge: 0.385 0.385 0.500
Ge: 0.615 0.000 0.500



[14]
A plane-wave DFT calculation with PBE was carried out for a relaxed structure of PmZnGe2.

## Properties
The value obtained for the final energy is -4.0737 eV per atom. The relative energy among the computed polymorphs is 0.94 eV per formula unit. Its formation energy from the elements is -259 meV per atom. The spin magnetization is 0.00 μB/cell. The space-group type is No. 123.

abc: 3.564 3.564 6.482
angles: 90.00 90.00 90.00
Sites, in units of the cell vectors:
Pm: 0.000 0.000 0.000
Zn: 0.000 0.000 0.500
Ge: 0.500 0.500 0.301
Ge: 0.500 0.500 0.699



[15]
A plane-wave DFT calculation with PBE was carried out for a relaxed structure of Pm8ZnGe5.

## Properties
The value obtained for the final energy is -5.1580 eV per atom. Its formation energy from the elements is -703 meV per atom. The spin magnetization is 0.00 μB/cell. The space-group type is No. 82.

abc: 7.883 7.883 7.883
angles: 109.59 109.59 109.22
Sites, in units of the cell vectors:
Pm: 0.008 0.621 0.744
Pm: 0.242 0.501 0.115
Pm: 0.379 0.122 0.387
Pm: 0.385 0.127 0.885
Pm: 0.499 0.615 0.741
Pm: 0.735 0.992 0.613
Pm: 0.873 0.758 0.259
Pm: 0.878 0.265 0.256
Zn: 0.000 0.000 0.000
Ge: 0.123 0.244 0.625
Ge: 0.250 0.750 0.500
Ge: 0.502 0.877 0.121
Ge: 0.619 0.498 0.375
Ge: 0.756 0.381 0.879



[16]
A plane-wave DFT calculation with PBE was carried out for a relaxed structure of Pm3Zn2Ge2.

## Properties
The value obtained for the final energy is -4.3786 eV per atom. Its formation energy from the elements is -659 meV per atom. The spin magnetization is 0.20 μB/cell. The space-group type is No. 71.

abc: 9.708 9.708 9.708
angles: 155.13 154.28 36.08
Sites, in units of the cell vectors:
Pm: 0.000 0.000 0.000
Pm: 0.185 0.685 0.500
Pm: 0.815 0.315 0.500
Zn: 0.435 0.435 0.000
Zn: 0.565 0.565 0.000
Ge: 0.355 0.855 0.500
Ge: 0.645 0.145 0.500



[17]
A plane-wave DFT calculation with PBE was carried out for a relaxed structure of PmZnGe2.

## Properties
The value obtained for the final energy is -4.3075 eV per atom. The relative energy among the computed polymorphs is 0.00 eV per formula unit. Its formation energy from the elements is -493 meV per atom. The spin magnetization is 0.00 μB/cell. The space-group type is No. 139.

abc: 10.061 10.061 10.061
angles: 156.26 156.26 33.83
Sites, in units of the cell vectors:
Pm: 0.116 0.116 0.000
Pm: 0.884 0.884 0.000
Zn: 0.250 0.750 0.500
Zn: 0.750 0.250 0.500
Ge: 0.000 0.500 0.500
Ge: 0.337 0.337 0.000
Ge: 0.500 0.000 0.500
Ge: 0.663 0.663 0.000



[18]
A plane-wave DFT calculation with PBE was carried out for a relaxed structure of Pm2ZnGe.

## Properties
The value obtained for the final energy is -4.3775 eV per atom. The relative energy among the computed polymorphs is 0.21 eV per formula unit. Its formation energy from the elements is -529 meV per atom. The spin magnetization is 0.00 μB/cell. The space-group type is No. 123.

abc: 5.008 5.008 3.864
angles: 90.00 90.00 90.00
Sites, in units of the cell vectors:
Pm: 0.000 0.500 0.000
Pm: 0.500 0.000 0.000
Zn: 0.000 0.000 0.500
Ge: 0.500 0.500 0.500



[19]
A plane-wave DFT calculation with PBE was carried out for a relaxed structure of Pm4Zn5Ge2.

## Properties
The value obtained for the final energy is -3.5848 eV per atom. Its formation energy from the elements is -439 meV per atom. The spin magnetization is 0.00 μB/cell. The space-group type is No. 10.

abc: 7.027 4.303 8.395
angles: 90.00 93.40 90.00
Sites, in units of the cell vectors:
Pm: 0.212 0.000 0.149
Pm: 0.249 0.000 0.610
Pm: 0.751 0.000 0.390
Pm: 0.788 0.000 0.851
Zn: 0.149 0.500 0.892
Zn: 0.428 0.500 0.358
Zn: 0.500 0.500 0.000
Zn: 0.572 0.500 0.642
Zn: 0.851 0.500 0.108
Ge: 0.061 0.500 0.364
Ge: 0.939 0.500 0.636



[20]
A plane-wave DFT calculation with PBE was carried out for a relaxed structure of PmZnGe2.

## Properties
The value obtained for the final energy is -4.0130 eV per atom. The relative energy among the computed polymorphs is 1.18 eV per formula unit. Its formation energy from the elements is -198 meV per atom. The spin magnetization is 0.00 μB/cell. The space-group type is No. 166.

abc: 4.737 4.737 4.737
angles: 67.36 67.36 67.36
Sites, in units of the cell vectors:
Pm: 0.000 0.000 0.000
Zn: 0.500 0.500 0.500
Ge: 0.270 0.270 0.270
Ge: 0.730 0.730 0.730